Record 1
First-principles (PBEsol) data for a relaxed structure of ZrTaRh2, as listed in Alexandria.

Cell lengths 2.941, 3.698, 5.954 Å; angles 90.00, 90.00, 90.00 degrees
Atoms (fractional coordinates):
Zr 0.000 0.000 0.000
Ta 0.000 0.000 0.500
Rh 0.500 0.500 0.261
Rh 0.500 0.500 0.739

## Properties
calculated formation energy: -0.539 eV/atom

Record 2
First-principles (PBEsol) data for a relaxed structure of Zr2TaRh, as listed in Alexandria.

Cell lengths 2.991, 4.597, 5.395 Å; angles 90.00, 102.40, 90.00 degrees
Atoms (fractional coordinates):
Zr 0.000 0.000 0.000
Zr 0.264 0.500 0.731
Ta 0.542 0.000 0.485
Rh 0.755 0.500 0.242

## Properties
calculated formation energy: -0.189 eV/atom

Record 3
First-principles (PBEsol) data for a relaxed structure of Tb5Rh3, as listed in Alexandria.

Cell lengths 8.136, 8.136, 6.222 Å; angles 90.00, 90.00, 120.00 degrees
Atoms (fractional coordinates):
Tb 0.000 0.249 0.250
Tb 0.000 0.751 0.750
Tb 0.249 0.000 0.250
Tb 0.249 0.249 0.750
Tb 0.333 0.667 0.000
Tb 0.333 0.667 0.500
Tb 0.667 0.333 0.000
Tb 0.667 0.333 0.500
Tb 0.751 0.000 0.750
Tb 0.751 0.751 0.250
Rh 0.000 0.397 0.750
Rh 0.000 0.603 0.250
Rh 0.397 0.000 0.750
Rh 0.397 0.397 0.250
Rh 0.603 0.000 0.250
Rh 0.603 0.603 0.750

## Properties
calculated formation energy: -0.662 eV/atom

Record 4
First-principles (PBEsol) data for a relaxed structure of TbRh2, as listed in Alexandria.

Cell lengths 5.257, 5.257, 5.257 Å; angles 60.00, 60.00, 60.00 degrees
Atoms (fractional coordinates):
Tb 0.125 0.125 0.125
Tb 0.875 0.875 0.875
Rh 0.000 0.500 0.500
Rh 0.500 0.000 0.500
Rh 0.500 0.500 0.000
Rh 0.500 0.500 0.500

## Properties
calculated formation energy: -0.730 eV/atom

Record 5
First-principles (PBEsol) data for a relaxed structure of TbRh5, as listed in Alexandria.

Cell lengths 5.144, 5.144, 4.265 Å; angles 90.00, 90.00, 120.00 degrees
Atoms (fractional coordinates):
Tb 0.000 0.000 0.000
Rh 0.000 0.500 0.500
Rh 0.333 0.667 0.000
Rh 0.500 0.000 0.500
Rh 0.500 0.500 0.500
Rh 0.667 0.333 0.000

## Properties
calculated formation energy: -0.264 eV/atom

Record 6
First-principles (PBEsol) data for a relaxed structure of TbZnRh2, as listed in Alexandria.

Cell lengths 6.348, 6.348, 6.348 Å; angles 90.00, 90.00, 90.00 degrees
Atoms (fractional coordinates):
Tb 0.000 0.000 0.000
Tb 0.000 0.500 0.500
Tb 0.500 0.000 0.500
Tb 0.500 0.500 0.000
Zn 0.000 0.000 0.500
Zn 0.000 0.500 0.000
Zn 0.500 0.000 0.000
Zn 0.500 0.500 0.500
Rh 0.250 0.250 0.250
Rh 0.250 0.250 0.750
Rh 0.250 0.750 0.250
Rh 0.250 0.750 0.750
Rh 0.750 0.250 0.250
Rh 0.750 0.250 0.750
Rh 0.750 0.750 0.250
Rh 0.750 0.750 0.750

## Properties
calculated formation energy: -0.596 eV/atom

Record 7
First-principles (PBEsol) data for a relaxed structure of TcRh3, as listed in Alexandria.

Cell lengths 2.670, 2.670, 26.308 Å; angles 90.00, 90.00, 120.00 degrees
Atoms (fractional coordinates):
Tc 0.000 0.000 0.000
Tc 0.333 0.667 0.667
Tc 0.667 0.333 0.333
Rh 0.000 0.000 0.251
Rh 0.000 0.000 0.500
Rh 0.000 0.000 0.749
Rh 0.333 0.667 0.167
Rh 0.333 0.667 0.415
Rh 0.333 0.667 0.918
Rh 0.667 0.333 0.082
Rh 0.667 0.333 0.585
Rh 0.667 0.333 0.833

## Properties
calculated formation energy: -0.056 eV/atom

Record 8
First-principles (PBEsol) data for a relaxed structure of TcRh3, as listed in Alexandria.

Cell lengths 2.663, 3.796, 5.345 Å; angles 90.00, 90.00, 90.00 degrees
Atoms (fractional coordinates):
Tc 0.000 0.000 0.000
Rh 0.000 0.000 0.500
Rh 0.500 0.500 0.247
Rh 0.500 0.500 0.753

## Properties
calculated formation energy: -0.078 eV/atom

Record 9
First-principles (PBEsol) data for a relaxed structure of Tc3Rh, as listed in Alexandria.

Cell lengths 5.420, 5.420, 8.655 Å; angles 90.00, 90.00, 120.00 degrees
Atoms (fractional coordinates):
Tc 0.000 0.500 0.000
Tc 0.000 0.500 0.500
Tc 0.170 0.341 0.250
Tc 0.170 0.830 0.250
Tc 0.341 0.170 0.750
Tc 0.500 0.000 0.000
Tc 0.500 0.000 0.500
Tc 0.500 0.500 0.000
Tc 0.500 0.500 0.500
Tc 0.659 0.830 0.250
Tc 0.830 0.170 0.750
Tc 0.830 0.659 0.750
Rh 0.000 0.000 0.000
Rh 0.000 0.000 0.500
Rh 0.333 0.667 0.750
Rh 0.667 0.333 0.250

## Properties
calculated formation energy: -0.108 eV/atom

Record 10
First-principles (PBEsol) data for a relaxed structure of TcRh3, as listed in Alexandria.

Cell lengths 2.698, 2.698, 8.594 Å; angles 90.00, 90.00, 120.00 degrees
Atoms (fractional coordinates):
Tc 0.000 0.000 0.000
Rh 0.000 0.000 0.500
Rh 0.333 0.667 0.244
Rh 0.333 0.667 0.756

## Properties
calculated formation energy: -0.098 eV/atom

Record 11
First-principles (PBEsol) data for a relaxed structure of Tc3Rh, as listed in Alexandria.

Cell lengths 2.702, 4.312, 4.714 Å; angles 90.00, 90.00, 90.00 degrees
Atoms (fractional coordinates):
Tc 0.000 0.000 0.000
Tc 0.000 0.500 0.329
Tc 0.500 0.500 0.830
Rh 0.500 0.000 0.493

## Properties
calculated formation energy: -0.116 eV/atom

Record 12
First-principles (PBEsol) data for a relaxed structure of TcRh3, as listed in Alexandria.

Cell lengths 5.397, 5.397, 4.282 Å; angles 90.00, 90.00, 120.00 degrees
Atoms (fractional coordinates):
Tc 0.333 0.667 0.250
Tc 0.667 0.333 0.750
Rh 0.168 0.335 0.750
Rh 0.168 0.832 0.750
Rh 0.335 0.168 0.250
Rh 0.665 0.832 0.750
Rh 0.832 0.168 0.250
Rh 0.832 0.665 0.250

## Properties
calculated formation energy: -0.099 eV/atom

Record 13
First-principles (PBEsol) data for a relaxed structure of TcRh5, as listed in Alexandria.

Cell lengths 4.669, 4.669, 4.301 Å; angles 90.00, 90.00, 120.00 degrees
Atoms (fractional coordinates):
Tc 0.000 0.000 0.000
Rh 0.000 0.668 0.500
Rh 0.332 0.332 0.500
Rh 0.333 0.667 0.000
Rh 0.667 0.333 0.000
Rh 0.668 0.000 0.500

## Properties
calculated formation energy: -0.084 eV/atom

Record 14
First-principles (PBEsol) data for a relaxed structure of TcRh3, as listed in Alexandria.

Cell lengths 5.335, 7.594, 2.666 Å; angles 90.00, 90.00, 90.00 degrees
Atoms (fractional coordinates):
Tc 0.000 0.000 0.000
Tc 0.500 0.500 0.000
Rh 0.000 0.500 0.000
Rh 0.250 0.250 0.500
Rh 0.250 0.750 0.500
Rh 0.500 0.000 0.000
Rh 0.750 0.250 0.500
Rh 0.750 0.750 0.500

## Properties
calculated formation energy: -0.052 eV/atom

Record 15
First-principles (PBEsol) data for a relaxed structure of TcRh5, as listed in Alexandria.

Cell lengths 9.808, 2.692, 6.328 Å; angles 90.00, 104.19, 90.00 degrees
Atoms (fractional coordinates):
Tc 0.000 0.000 0.000
Tc 0.500 0.500 0.000
Rh 0.109 0.500 0.724
Rh 0.163 0.500 0.326
Rh 0.279 0.000 0.054
Rh 0.335 0.000 0.670
Rh 0.445 0.500 0.387
Rh 0.609 0.000 0.724
Rh 0.663 0.000 0.326
Rh 0.779 0.500 0.054
Rh 0.835 0.500 0.670
Rh 0.945 0.000 0.387

## Properties
calculated formation energy: -0.066 eV/atom

Record 16
First-principles (PBEsol) data for a relaxed structure of TcRh5, as listed in Alexandria.

Cell lengths 3.778, 11.307, 3.788 Å; angles 90.00, 90.00, 90.00 degrees
Atoms (fractional coordinates):
Tc 0.000 0.000 0.000
Tc 0.500 0.500 0.000
Rh 0.000 0.166 0.500
Rh 0.000 0.339 0.000
Rh 0.000 0.500 0.500
Rh 0.000 0.661 0.000
Rh 0.000 0.834 0.500
Rh 0.500 0.000 0.500
Rh 0.500 0.161 0.000
Rh 0.500 0.334 0.500
Rh 0.500 0.666 0.500
Rh 0.500 0.839 0.000

## Properties
calculated formation energy: -0.073 eV/atom

Record 17
First-principles (PBEsol) data for a relaxed structure of TcRh3, as listed in Alexandria.

Cell lengths 2.664, 2.664, 7.622 Å; angles 90.00, 90.00, 90.00 degrees
Atoms (fractional coordinates):
Tc 0.000 0.000 0.000
Rh 0.000 0.000 0.500
Rh 0.500 0.500 0.247
Rh 0.500 0.500 0.753

## Properties
calculated formation energy: -0.069 eV/atom

Record 18
First-principles (PBEsol) data for a relaxed structure of Tc3Rh, as listed in Alexandria.

Cell lengths 2.696, 8.622, 4.729 Å; angles 90.00, 90.00, 90.00 degrees
Atoms (fractional coordinates):
Tc 0.000 0.000 0.000
Tc 0.000 0.251 0.330
Tc 0.000 0.749 0.330
Tc 0.500 0.249 0.830
Tc 0.500 0.500 0.500
Tc 0.500 0.751 0.830
Rh 0.000 0.500 0.997
Rh 0.500 0.000 0.497

## Properties
calculated formation energy: -0.110 eV/atom

Record 19
First-principles (PBEsol) data for a relaxed structure of TcRh3, as listed in Alexandria.

Cell lengths 2.690, 4.289, 4.681 Å; angles 90.00, 90.00, 90.00 degrees
Atoms (fractional coordinates):
Tc 0.000 0.000 0.000
Rh 0.000 0.500 0.672
Rh 0.500 0.000 0.501
Rh 0.500 0.500 0.171

## Properties
calculated formation energy: -0.092 eV/atom

Record 20
First-principles (PBEsol) data for a relaxed structure of Tc3Rh, as listed in Alexandria.

Cell lengths 5.427, 13.055, 4.669 Å; angles 90.00, 90.00, 90.00 degrees
Atoms (fractional coordinates):
Tc 0.002 0.250 0.005
Tc 0.003 0.586 0.333
Tc 0.003 0.914 0.333
Tc 0.250 0.086 0.165
Tc 0.250 0.414 0.165
Tc 0.250 0.750 0.490
Tc 0.497 0.586 0.333
Tc 0.497 0.914 0.333
Tc 0.498 0.250 0.005
Tc 0.502 0.750 0.995
Tc 0.503 0.086 0.667
Tc 0.503 0.414 0.667
Tc 0.750 0.250 0.510
Tc 0.750 0.586 0.835
Tc 0.750 0.914 0.835
Tc 0.997 0.086 0.667
Tc 0.997 0.414 0.667
Tc 0.998 0.750 0.995
Rh 0.250 0.250 0.507
Rh 0.250 0.584 0.835
Rh 0.250 0.916 0.835
Rh 0.750 0.084 0.165
Rh 0.750 0.416 0.165
Rh 0.750 0.750 0.493

## Properties
calculated formation energy: -0.082 eV/atom

Record 21
First-principles (PBEsol) data for a relaxed structure of TcRh3, as listed in Alexandria.

Cell lengths 5.352, 13.031, 4.650 Å; angles 90.00, 90.00, 90.00 degrees
Atoms (fractional coordinates):
Tc 0.250 0.086 0.172
Tc 0.250 0.414 0.172
Tc 0.250 0.750 0.497
Tc 0.750 0.250 0.503
Tc 0.750 0.586 0.828
Tc 0.750 0.914 0.828
Rh 0.000 0.083 0.669
Rh 0.000 0.417 0.669
Rh 0.000 0.583 0.331
Rh 0.000 0.917 0.331
Rh 0.002 0.750 0.002
Rh 0.250 0.250 0.492
Rh 0.250 0.586 0.830
Rh 0.250 0.914 0.830
Rh 0.498 0.750 0.002
Rh 0.500 0.083 0.669
Rh 0.500 0.417 0.669
Rh 0.500 0.583 0.331
Rh 0.500 0.917 0.331
Rh 0.502 0.250 0.998
Rh 0.750 0.086 0.170
Rh 0.750 0.414 0.170
Rh 0.750 0.750 0.508
Rh 0.998 0.250 0.998

## Properties
calculated formation energy: -0.076 eV/atom

Record 22
First-principles (PBEsol) data for a relaxed structure of Tc3Rh, as listed in Alexandria.

Cell lengths 2.712, 2.712, 8.655 Å; angles 90.00, 90.00, 120.00 degrees
Atoms (fractional coordinates):
Tc 0.000 0.000 0.000
Tc 0.667 0.333 0.250
Tc 0.667 0.333 0.750
Rh 0.000 0.000 0.500

## Properties
calculated formation energy: -0.083 eV/atom

Record 23
First-principles (PBEsol) data for a relaxed structure of TcRh3, as listed in Alexandria.

Cell lengths 8.882, 2.664, 4.636 Å; angles 90.00, 99.87, 90.00 degrees
Atoms (fractional coordinates):
Tc 0.000 0.000 0.000
Tc 0.500 0.500 0.000
Rh 0.000 0.500 0.500
Rh 0.249 0.500 0.247
Rh 0.251 0.000 0.753
Rh 0.500 0.000 0.500
Rh 0.749 0.000 0.247
Rh 0.751 0.500 0.753

## Properties
calculated formation energy: -0.060 eV/atom

Record 24
First-principles (PBEsol) data for a relaxed structure of TcRh5, as listed in Alexandria.

Cell lengths 4.294, 2.693, 13.995 Å; angles 90.00, 90.00, 90.00 degrees
Atoms (fractional coordinates):
Tc 0.000 0.000 0.000
Tc 0.000 0.500 0.500
Rh 0.000 0.000 0.335
Rh 0.000 0.000 0.663
Rh 0.000 0.500 0.163
Rh 0.000 0.500 0.835
Rh 0.500 0.000 0.110
Rh 0.500 0.000 0.443
Rh 0.500 0.000 0.776
Rh 0.500 0.500 0.276
Rh 0.500 0.500 0.610
Rh 0.500 0.500 0.943

## Properties
calculated formation energy: -0.073 eV/atom

Record 25
First-principles (PBEsol) data for a relaxed structure of Tc3Rh, as listed in Alexandria.

Cell lengths 8.950, 2.683, 4.674 Å; angles 90.00, 99.92, 90.00 degrees
Atoms (fractional coordinates):
Tc 0.000 0.000 0.000
Tc 0.250 0.000 0.753
Tc 0.250 0.500 0.247
Tc 0.500 0.500 0.000
Tc 0.750 0.000 0.247
Tc 0.750 0.500 0.753
Rh 0.000 0.500 0.500
Rh 0.500 0.000 0.500

## Properties
calculated formation energy: -0.005 eV/atom

Record 26
First-principles (PBEsol) data for a relaxed structure of TcRh7, as listed in Alexandria.

Cell lengths 5.339, 5.339, 5.339 Å; angles 60.00, 60.00, 60.00 degrees
Atoms (fractional coordinates):
Tc 0.000 0.000 0.000
Rh 0.000 0.000 0.500
Rh 0.000 0.500 0.000
Rh 0.000 0.500 0.500
Rh 0.500 0.000 0.000
Rh 0.500 0.000 0.500
Rh 0.500 0.500 0.000
Rh 0.500 0.500 0.500

## Properties
calculated formation energy: -0.030 eV/atom

Number 1: calculated total energy -10.019 eV/atom. Number 2: calculated total energy -9.906 eV/atom. Number 3: calculated total energy -6.845 eV/atom. Number 4: calculated total energy -7.826 eV/atom. Number 5: calculated total energy -7.881 eV/atom. Number 6: calculated total energy -6.313 eV/atom. Number 7: calculated total energy -8.977 eV/atom. Number 8: calculated total energy -8.998 eV/atom. Number 9: calculated total energy -10.592 eV/atom. Number 10: calculated total energy -9.018 eV/atom. Number 11: calculated total energy -10.601 eV/atom. Number 12: calculated total energy -9.019 eV/atom. Number 13: calculated total energy -8.744 eV/atom. Number 14: calculated total energy -8.972 eV/atom. Number 15: calculated total energy -8.725 eV/atom. Number 16: calculated total energy -8.732 eV/atom. Number 17: calculated total energy -8.989 eV/atom. Number 18: calculated total energy -10.594 eV/atom. Number 19: calculated total energy -9.013 eV/atom. Number 20: calculated total energy -10.566 eV/atom. Number 21: calculated total energy -8.996 eV/atom. Number 22: calculated total energy -10.567 eV/atom. Number 23: calculated total energy -8.980 eV/atom. Number 24: calculated total energy -8.733 eV/atom. Number 25: calculated total energy -10.489 eV/atom. Number 26: calculated total energy -8.559 eV/atom.